Entry one
A relaxed Ho2LuSn crystal, computed with GGA-PBE.

Output
D(E_F): 12.56 states/eV per cell
spin magnetization: 0.00 Bohr magnetons per cell

Unit cell a=3.4744 b=3.4744 c=35.3783 alpha=90.00 beta=90.00 gamma=120.00
Space group R-3m (No. 166, hexagonal axes)
Asymmetric unit:
Ho: 0.0000 0.0000 0.0879 (multiplicity 6)
Lu: 0.0000 0.0000 0.5000 (multiplicity 3)
Sn: 0.0000 0.0000 0.0000 (multiplicity 3)

---

Entry two
A relaxed Ho2LuSn crystal, computed with GGA-PBE.

Output
D(E_F): 4.86 states/eV per cell
spin magnetization: 0.02 Bohr magnetons per cell

Unit cell a=4.757 b=4.757 c=4.776 alpha=90.00 beta=90.00 gamma=90.00
Space group P4/mmm (No. 123)
Asymmetric unit:
Ho: 0.000 0.500 0.000 (multiplicity 2)
Lu: 0.000 0.000 0.500 (multiplicity 1)
Sn: 0.500 0.500 0.500 (multiplicity 1)

---

Short version: entry two is the most stable of them.